{"formula": "TiNb14V", "functional": "PBE-GGA", "state": "relaxed", "lattice_angstrom": [[6.605, 0.000, 0.000], [0.000, 6.605, 0.000], [0.000, 0.000, 6.574]], "species": ["Ti", "Nb", "Nb", "Nb", "Nb", "Nb", "Nb", "Nb", "Nb", "Nb", "Nb", "Nb", "Nb", "Nb", "Nb", "V"], "frac_coords": [[0.000, 0.000, 0.000], [0.000, 0.000, 0.500], [0.000, 0.500, 0.000], [0.000, 0.500, 0.500], [0.253, 0.253, 0.247], [0.253, 0.253, 0.753], [0.253, 0.747, 0.247], [0.253, 0.747, 0.753], [0.500, 0.000, 0.000], [0.500, 0.000, 0.500], [0.500, 0.500, 0.500], [0.747, 0.253, 0.247], [0.747, 0.253, 0.753], [0.747, 0.747, 0.247], [0.747, 0.747, 0.753], [0.500, 0.500, 0.000]], "total_energy_ha_per_atom": -0.3628, "dos_at_fermi_per_ev_fu": 29.691, "volume_a3_per_atom": 17.92}

{"formula": "Ti3Nb12V5", "functional": "PBE-GGA", "state": "relaxed", "lattice_angstrom": [[-7.438, 7.438, 7.438], [7.438, -7.438, 7.438], [7.438, 7.438, -7.438]], "species": ["Ti", "Ti", "Ti", "Ti", "Ti", "Ti", "Ti", "Ti", "Ti", "Ti", "Ti", "Ti", "Nb", "Nb", "Nb", "Nb", "Nb", "Nb", "Nb", "Nb", "Nb", "Nb", "Nb", "Nb", "Nb", "Nb", "Nb", "Nb", "Nb", "Nb", "Nb", "Nb", "Nb", "Nb", "Nb", "Nb", "Nb", "Nb", "Nb", "Nb", "Nb", "Nb", "Nb", "Nb", "Nb", "Nb", "Nb", "Nb", "Nb", "Nb", "Nb", "Nb", "Nb", "Nb", "Nb", "Nb", "Nb", "Nb", "Nb", "Nb", "V", "V", "V", "V", "V", "V", "V", "V", "V", "V", "V", "V", "V", "V", "V", "V", "V", "V", "V", "V"], "frac_coords": [[0.125, 0.250, 0.375], [0.125, 0.375, 0.750], [0.250, 0.375, 0.125], [0.250, 0.875, 0.625], [0.375, 0.125, 0.250], [0.375, 0.750, 0.125], [0.625, 0.250, 0.875], [0.625, 0.875, 0.750], [0.750, 0.125, 0.375], [0.750, 0.625, 0.875], [0.875, 0.625, 0.250], [0.875, 0.750, 0.625], [0.056, 0.223, 0.120], [0.056, 0.333, 0.936], [0.064, 0.620, 0.396], [0.064, 0.944, 0.667], [0.104, 0.723, 0.667], [0.104, 0.880, 0.436], [0.120, 0.056, 0.223], [0.120, 0.564, 0.896], [0.167, 0.223, 0.604], [0.167, 0.444, 0.564], [0.223, 0.120, 0.056], [0.223, 0.604, 0.167], [0.277, 0.333, 0.896], [0.277, 0.444, 0.380], [0.333, 0.896, 0.277], [0.333, 0.936, 0.056], [0.380, 0.277, 0.444], [0.380, 0.604, 0.936], [0.396, 0.064, 0.620], [0.396, 0.833, 0.777], [0.436, 0.104, 0.880], [0.436, 0.833, 0.556], [0.444, 0.380, 0.277], [0.444, 0.564, 0.167], [0.556, 0.436, 0.833], [0.556, 0.620, 0.723], [0.564, 0.167, 0.444], [0.564, 0.896, 0.120], [0.604, 0.167, 0.223], [0.604, 0.936, 0.380], [0.620, 0.396, 0.064], [0.620, 0.723, 0.556], [0.667, 0.064, 0.944], [0.667, 0.104, 0.723], [0.723, 0.556, 0.620], [0.723, 0.667, 0.104], [0.777, 0.396, 0.833], [0.777, 0.880, 0.944], [0.833, 0.556, 0.436], [0.833, 0.777, 0.396], [0.880, 0.436, 0.104], [0.880, 0.944, 0.777], [0.896, 0.120, 0.564], [0.896, 0.277, 0.333], [0.936, 0.056, 0.333], [0.936, 0.380, 0.604], [0.944, 0.667, 0.064], [0.944, 0.777, 0.880], [0.000, 0.000, 0.000], [0.000, 0.000, 0.500], [0.000, 0.500, 0.000], [0.000, 0.500, 0.500], [0.125, 0.750, 0.875], [0.125, 0.875, 0.250], [0.250, 0.125, 0.875], [0.250, 0.625, 0.375], [0.375, 0.250, 0.625], [0.375, 0.625, 0.750], [0.500, 0.000, 0.000], [0.500, 0.000, 0.500], [0.500, 0.500, 0.000], [0.500, 0.500, 0.500], [0.625, 0.375, 0.250], [0.625, 0.750, 0.375], [0.750, 0.375, 0.625], [0.750, 0.875, 0.125], [0.875, 0.125, 0.750], [0.875, 0.250, 0.125]], "total_energy_ha_per_atom": -0.3006, "dos_at_fermi_per_ev_fu": 28.770, "volume_a3_per_atom": 20.58}